(1)
{"formula": "Al2Pt2W", "functional": "GGA-PBE", "state": "relaxed", "magnetic_moment_mub_per_cell": 0.0, "density_g_cm3": 13.8, "total_energy_ev_per_cell": -69.90, "formation_energy_ev_per_atom": -0.49, "e_above_lowest_polymorph_kj_per_mol_atoms": 0.0, "lattice": [[7.390, 0.000, 0.000], [0.000, 7.390, 0.000], [0.000, 0.000, 2.763]], "species": ["Al", "Al", "Al", "Al", "Pt", "Pt", "Pt", "Pt", "W", "W"], "frac_coords": [[0.141, 0.359, 0.000], [0.359, 0.859, 0.000], [0.641, 0.141, 0.000], [0.859, 0.641, 0.000], [0.157, 0.657, 0.500], [0.343, 0.157, 0.500], [0.657, 0.843, 0.500], [0.843, 0.343, 0.500], [0.000, 0.000, 0.000], [0.500, 0.500, 0.000]]}

***

(2)
{"formula": "Al2PtW", "functional": "GGA-PBE", "state": "relaxed", "magnetic_moment_mub_per_cell": 0.0, "density_g_cm3": 12.1, "total_energy_ev_per_cell": -27.62, "formation_energy_ev_per_atom": -0.28, "e_above_lowest_polymorph_kj_per_mol_atoms": 15.4, "lattice": [[0.000, 3.095, 3.095], [3.095, 0.000, 3.095], [3.095, 3.095, 0.000]], "species": ["Al", "Al", "Pt", "W"], "frac_coords": [[0.250, 0.250, 0.250], [0.750, 0.750, 0.750], [0.000, 0.000, 0.000], [0.500, 0.500, 0.500]]}

***

(3)
{"formula": "Al3PtW", "functional": "GGA-PBE", "state": "relaxed", "magnetic_moment_mub_per_cell": 2.6, "density_g_cm3": 7.6, "total_energy_ev_per_cell": -26.81, "formation_energy_ev_per_atom": 0.68, "e_above_lowest_polymorph_kj_per_mol_atoms": 0.0, "lattice": [[4.656, 0.000, 0.000], [0.000, 4.656, 0.000], [0.000, 0.000, 4.656]], "species": ["Al", "Al", "Al", "Pt", "W"], "frac_coords": [[0.000, 0.000, 0.500], [0.000, 0.500, 0.000], [0.500, 0.000, 0.000], [0.000, 0.000, 0.000], [0.500, 0.500, 0.500]]}

***

(4)
{"formula": "Al2PtW", "functional": "GGA-PBE", "state": "relaxed", "magnetic_moment_mub_per_cell": 0.0, "density_g_cm3": 11.5, "total_energy_ev_per_cell": -27.45, "formation_energy_ev_per_atom": -0.24, "e_above_lowest_polymorph_kj_per_mol_atoms": 19.5, "lattice": [[1.436, 0.829, 8.777], [-1.436, 0.829, 8.777], [0.000, -1.658, 8.777]], "species": ["Al", "Al", "Pt", "W"], "frac_coords": [[0.000, 0.000, 0.000], [0.246, 0.246, 0.246], [0.744, 0.744, 0.744], [0.496, 0.496, 0.496]]}

***

(5)
{"formula": "Al2PtW", "functional": "GGA-PBE", "state": "relaxed", "magnetic_moment_mub_per_cell": 0.0, "density_g_cm3": 12.1, "total_energy_ev_per_cell": -28.23, "formation_energy_ev_per_atom": -0.44, "e_above_lowest_polymorph_kj_per_mol_atoms": 0.7, "lattice": [[4.378, 0.000, 0.000], [0.000, 4.378, 0.000], [0.000, 0.000, 3.102]], "species": ["Al", "Al", "Pt", "W"], "frac_coords": [[0.000, 0.500, 0.000], [0.500, 0.000, 0.000], [0.000, 0.000, 0.500], [0.500, 0.500, 0.500]]}

***

(6)
{"formula": "AlPtW", "functional": "GGA-PBE", "state": "relaxed", "magnetic_moment_mub_per_cell": 0.0, "density_g_cm3": 14.5, "total_energy_ev_per_cell": -23.46, "formation_energy_ev_per_atom": -0.24, "e_above_lowest_polymorph_kj_per_mol_atoms": 12.5, "lattice": [[2.836, 0.000, 0.000], [-1.418, 2.456, 0.000], [0.000, 0.000, 6.654]], "species": ["Al", "Pt", "W"], "frac_coords": [[0.000, 0.000, 0.000], [0.667, 0.333, 0.317], [0.333, 0.667, 0.660]]}

***

(7)
{"formula": "Al2PtW", "functional": "GGA-PBE", "state": "relaxed", "magnetic_moment_mub_per_cell": 0.0, "density_g_cm3": 11.8, "total_energy_ev_per_cell": -27.70, "formation_energy_ev_per_atom": -0.31, "e_above_lowest_polymorph_kj_per_mol_atoms": 13.3, "lattice": [[2.751, 0.000, 0.000], [0.000, 4.379, 0.000], [-1.370, 0.000, 5.041]], "species": ["Al", "Al", "Pt", "W"], "frac_coords": [[0.000, 0.000, 0.000], [0.157, 0.500, 0.316], [0.742, 0.000, 0.486], [0.420, 0.500, 0.838]]}

***

(8)
{"formula": "Al2Pt2W", "functional": "GGA-PBE", "state": "relaxed", "magnetic_moment_mub_per_cell": 0.0, "density_g_cm3": 13.6, "total_energy_ev_per_cell": -69.53, "formation_energy_ev_per_atom": -0.45, "e_above_lowest_polymorph_kj_per_mol_atoms": 3.6, "lattice": [[7.450, 0.000, 0.000], [0.000, 7.450, 0.000], [0.000, 0.000, 2.761]], "species": ["Al", "Al", "Al", "Al", "Pt", "Pt", "Pt", "Pt", "W", "W"], "frac_coords": [[0.163, 0.337, 0.000], [0.337, 0.837, 0.000], [0.663, 0.163, 0.000], [0.837, 0.663, 0.000], [0.136, 0.636, 0.500], [0.364, 0.136, 0.500], [0.636, 0.864, 0.500], [0.864, 0.364, 0.500], [0.000, 0.000, 0.500], [0.500, 0.500, 0.500]]}